Computed, not measured: an optimized crystal structure of CuHgN2 at the PBE level of DFT.

Cell and atoms, written as POSCAR:
```
CuHgN2
1.0
1.7955 0.0000 6.0923
-0.8978 1.5550 6.0923
-0.8978 -1.5550 6.0923
N Hg Cu
2 1 1
Direct
0.8837 0.8837 0.8837
0.1163 0.1163 0.1163
0.0000 0.0000 0.0000
0.5000 0.5000 0.5000
```

Calculated values
Density of states at the Fermi level in states/eV per cell: 2.63
Calculated total energy in eV per atom: -4.124
Energy relative to the elements, uncorrected in eV per atom: 1.14